No. 1
The following is a DFT calculation (GGA-PBEsol) of a relaxed Tc2AsCl crystal.

a b c (Å): 2.9354 2.9354 7.8876
angles (deg): 79.28 79.28 60.00
Last column: nearest neighbours and their distance in Å.
Fractional coordinates of all 4 atoms:
1 As 0.5000 0.5000 0.5000  6 Tc 2.53
2 Tc 0.2478 0.2478 0.2565  3 As 2.53, 3 Cl 2.60
3 Tc 0.7522 0.7522 0.7435  3 As 2.53, 3 Cl 2.60
4 Cl 0.0000 0.0000 0.0000  6 Tc 2.60

Values from the calculation:
Total moment in μB/atom: 0.00
Fermi-level density of states in states/eV/f.u.: 4.03
Space-group type: R-3m
Uncorrected energy in Ry per atom: -0.52974
Energy relative to the lowest polymorph listed for this composition in meV per atom: 71
Density in g/cm3: 8.85


No. 2
The following is a DFT calculation (GGA-PBEsol) of a relaxed TcAs2Cl crystal.

a b c (Å): 3.0754 3.0754 7.1991
angles (deg): 90.00 90.00 90.00
Last column: nearest neighbours and their distance in Å.
Fractional coordinates of all 4 atoms:
1 As 0.0000 0.0000 0.7020  4 Tc 2.62, 1 As 2.91
2 As 0.0000 0.0000 0.2980  4 Tc 2.62, 1 As 2.91
3 Tc 0.5000 0.5000 0.5000  8 As 2.62
4 Cl 0.5000 0.5000 0.0000  8 As 3.05, 4 Cl 3.08

Values from the calculation:
Total moment in μB/atom: 0.00
Fermi-level density of states in states/eV/f.u.: 1.76
Space-group type: P4/mmm
Uncorrected energy in Ry per atom: -0.43999
Energy relative to the lowest polymorph listed for this composition in meV per atom: 0
Density in g/cm3: 6.91


No. 3
The following is a DFT calculation (GGA-PBEsol) of a relaxed Tc2AsCl crystal.

a b c (Å): 2.8562 5.0206 5.0206
angles (deg): 64.57 73.47 73.47
Last column: nearest neighbours and their distance in Å.
Fractional coordinates of all 4 atoms:
1 As 0.5000 0.0000 0.0000  4 Tc 2.45
2 Tc 0.2486 0.7514 0.7514  2 As 2.45, 2 Cl 2.47
3 Tc 0.7514 0.2486 0.2486  2 As 2.45, 2 Cl 2.47
4 Cl 0.0000 0.5000 0.5000  4 Tc 2.47

Values from the calculation:
Total moment in μB/atom: 0.00
Fermi-level density of states in states/eV/f.u.: 4.16
Space-group type: Immm
Uncorrected energy in Ry per atom: -0.50496
Energy relative to the lowest polymorph listed for this composition in meV per atom: 408
Density in g/cm3: 8.31


No. 4
The following is a DFT calculation (GGA-PBEsol) of a relaxed TcAsCl crystal.

a b c (Å): 4.3025 4.3025 4.3025
angles (deg): 60.00 60.00 60.00
Last column: nearest neighbours and their distance in Å.
Fractional coordinates of all 3 atoms:
1 As 0.5000 0.5000 0.5000  4 Cl 2.63
2 Tc 0.0000 0.0000 0.0000  4 Cl 2.63
3 Cl 0.2500 0.2500 0.2500  4 As 2.63, 4 Tc 2.63

Values from the calculation:
Total moment in μB/atom: 0.91
Fermi-level density of states in states/eV/f.u.: 1.41
Space-group type: F-43m
Uncorrected energy in Ry per atom: -0.35670
Energy relative to the lowest polymorph listed for this composition in meV per atom: 1375
Density in g/cm3: 6.14


No. 5
The following is a DFT calculation (GGA-PBEsol) of a relaxed TcAsCl crystal.

a b c (Å): 3.0393 3.0393 7.1559
angles (deg): 90.00 90.00 120.00
Last column: nearest neighbours and their distance in Å.
Fractional coordinates of all 3 atoms:
1 As 0.0000 0.0000 0.0835  3 Tc 2.51
2 Tc 0.6667 0.3333 0.3336  3 Cl 2.50, 3 As 2.51
3 Cl 0.3333 0.6667 0.5829  3 Tc 2.50

Values from the calculation:
Total moment in μB/atom: 0.00
Fermi-level density of states in states/eV/f.u.: 3.32
Space-group type: P3m1
Uncorrected energy in Ry per atom: -0.45774
Energy relative to the lowest polymorph listed for this composition in meV per atom: 0
Density in g/cm3: 6.04


No. 6
The following is a DFT calculation (GGA-PBEsol) of a relaxed TcAs3Cl crystal.

a b c (Å): 4.7514 4.7514 4.7514
angles (deg): 90.00 90.00 90.00
Last column: nearest neighbours and their distance in Å.
Fractional coordinates of all 5 atoms:
1 As 0.0000 0.5000 0.0000  2 Tc 2.38
2 As 0.0000 0.0000 0.5000  2 Tc 2.38
3 As 0.5000 0.0000 0.0000  2 Tc 2.38
4 Tc 0.0000 0.0000 0.0000  6 As 2.38
5 Cl 0.5000 0.5000 0.5000  12 As 3.36

Values from the calculation:
Total moment in μB/atom: 0.00
Fermi-level density of states in states/eV/f.u.: 5.61
Space-group type: Pm-3m
Uncorrected energy in Ry per atom: -0.39695
Density in g/cm3: 5.55


No. 7
The following is a DFT calculation (GGA-PBEsol) of a relaxed TeAsCl2 crystal.

a b c (Å): 4.3118 4.3118 5.3871
angles (deg): 113.59 113.59 90.00
Last column: nearest neighbours and their distance in Å.
Fractional coordinates of all 4 atoms:
1 As 0.0000 0.0000 0.0000  4 Te 3.05, 8 Cl 3.10
2 Te 0.5000 0.5000 0.0000  4 As 3.05, 8 Cl 3.10
3 Cl 0.7500 0.2500 0.5000  4 Cl 3.05, 4 As 3.10, 4 Te 3.10
4 Cl 0.2500 0.7500 0.5000  4 Cl 3.05, 4 As 3.10, 4 Te 3.10

Values from the calculation:
Total moment in μB/atom: 0.00
Fermi-level density of states in states/eV/f.u.: 2.25
Space-group type: I4/mmm
Uncorrected energy in Ry per atom: -0.21480
Energy relative to the lowest polymorph listed for this composition in meV per atom: 241
Density in g/cm3: 5.50


No. 8
The following is a DFT calculation (GGA-PBEsol) of a relaxed TeAsCl2 crystal.

a b c (Å): 3.2359 3.2359 10.0975
angles (deg): 80.78 80.78 60.00
Last column: nearest neighbours and their distance in Å.
Fractional coordinates of all 4 atoms:
1 As 0.0000 0.0000 0.0000  2 Cl 2.33
2 Te 0.5000 0.5000 0.5000  6 Cl 3.23, 6 Te 3.24
3 Cl 0.9218 0.9218 0.2347  1 As 2.33
4 Cl 0.0782 0.0782 0.7653  1 As 2.33

Values from the calculation:
Total moment in μB/atom: 0.00
Fermi-level density of states in states/eV/f.u.: 2.21
Space-group type: R-3m
Uncorrected energy in Ry per atom: -0.23249
Energy relative to the lowest polymorph listed for this composition in meV per atom: 0
Density in g/cm3: 5.05


Look up the uncorrected energy of the seventh one. -0.21480 Ry per atom